(w)
PBE CuSi2Au, relaxed; calculated volume = 61.3 Å³/cell
1.0
2.849 0.000 0.000
0.000 4.588 0.000
0.000 0.000 4.690
Cu Si Au
1 2 1
Cartesian
0.000 0.000 0.000 Cu
0.000 2.294 2.345 Si
1.425 0.000 2.345 Si
1.425 2.294 0.000 Au

(x)
PBE CuSi2Au, relaxed; calculated volume = 60.4 Å³/cell
1.0
-1.959 1.959 3.935
1.959 -1.959 3.935
1.959 1.959 -3.935
Cu Si Au
1 2 1
Cartesian
0.000 0.000 0.000 Cu
1.959 0.000 1.967 Si
0.000 0.000 3.935 Si
0.000 1.959 1.967 Au

The most stable of them is (x).

(w)
PBE CuSi2Au, relaxed; calculated volume = 61.9 Å³/cell
1.0
0.000 3.140 3.140
3.140 0.000 3.140
3.140 3.140 0.000
Cu Si Au
1 2 1
Cartesian
0.000 0.000 0.000 Cu
1.570 1.570 1.570 Si
3.140 3.140 3.140 Si
4.710 4.710 4.710 Au

(x)
PBE CuSi2Au, relaxed; calculated volume = 70.5 Å³/cell
1.0
3.937 0.000 0.000
0.000 4.142 0.000
-1.144 0.000 4.322
Cu Si Au
1 2 1
Cartesian
0.000 0.000 0.000 Cu
1.037 2.071 0.726 Si
1.755 2.071 3.596 Si
1.396 0.000 2.161 Au

The most stable of them is (x).